Entry 1:
# Ac3Ag3Pb2 | the Alexandria database | GGA-PBE | optimized geometry
# - calculated formation energy (eV/f.u.) = -2.91
# - raw total energy (eV per formula unit) = -31.20
data_Ac3Ag3Pb2
_cell_length_a 4.888
_cell_length_b 12.106
_cell_length_c 16.620
_cell_angle_alpha 90.00
_cell_angle_beta 90.00
_cell_angle_gamma 90.00
_symmetry_space_group_name_H-M 'C m c m'
_symmetry_Int_Tables_number 63
_symmetry_space_group_name_Hall '-C 2c 2'
loop_
_atom_site_label
_atom_site_fract_x
_atom_site_fract_y
_atom_site_fract_z
Ac1 0.000 0.094 0.103
Ac2 0.000 0.377 0.250
Ag1 0.000 0.352 0.750
Ag2 0.000 0.393 0.036
Pb1 0.000 0.201 0.606



Entry 2:
# NaLi2PaTe4 | the Alexandria database | GGA-PBE | optimized geometry
# - ΔE_f (raw) (meV/atom) = -881
# - raw total energy (eV per formula unit) = -34.26
data_NaLi2PaTe4
_cell_length_a 6.143
_cell_length_b 6.143
_cell_length_c 12.256
_cell_angle_alpha 90.00
_cell_angle_beta 90.00
_cell_angle_gamma 90.00
_symmetry_space_group_name_H-M 'I -4 m 2'
_symmetry_Int_Tables_number 119
_symmetry_space_group_name_Hall 'I -4 -2'
loop_
_atom_site_label
_atom_site_fract_x
_atom_site_fract_y
_atom_site_fract_z
Na1 0.000 0.000 0.000
Li1 0.000 0.000 0.500
Li2 0.000 0.500 0.250
Pa1 0.000 0.500 0.750
Te1 0.000 0.000 0.259
Te2 0.000 0.500 0.511